A plane-wave DFT calculation with PBE was carried out for a relaxed structure of Nd4SmPa3P8.

Cell lengths 8.1436, 8.1613, 8.1429 Å; angles 119.93, 120.00, 90.00 degrees
Last column: nearest neighbours and their distance in Å.
Sites, in units of the cell vectors:
Nd  0.5000  0.0000  0.0000  6 P 2.90
Nd  0.5000  0.0000  0.5000  6 P 2.95-2.96
Nd  0.0000  0.0000  0.0000  6 P 2.95-2.96
Nd  0.0000  0.0000  0.5000  6 P 2.95-2.96
Sm  0.0000  0.5000  0.0000  6 P 2.87
Pa  0.5000  0.5000  0.0000  6 P 2.81-2.82
Pa  0.5000  0.5000  0.5000  6 P 2.81-2.82
Pa  0.0000  0.5000  0.5000  6 P 2.81-2.82
P  0.2487  0.7354  0.9867  2 Pa 2.81, 1 Sm 2.87, 3 Nd 2.90-2.96
P  0.2487  0.7354  0.4975  2 Pa 2.81, 1 Sm 2.87, 3 Nd 2.90-2.96
P  0.2554  0.2661  0.5108  3 Pa 2.82, 3 Nd 2.95
P  0.7379  0.7354  0.9867  2 Pa 2.81, 1 Sm 2.87, 3 Nd 2.90-2.96
P  0.2621  0.2646  0.0133  2 Pa 2.81, 1 Sm 2.87, 3 Nd 2.90-2.96
P  0.7446  0.7339  0.4892  3 Pa 2.82, 3 Nd 2.95
P  0.7513  0.2646  0.5025  2 Pa 2.81, 1 Sm 2.87, 3 Nd 2.90-2.96
P  0.7513  0.2646  0.0133  2 Pa 2.81, 1 Sm 2.87, 3 Nd 2.90-2.96

Calculated values
* energy of formation: -23.47 eV per formula unit
* electronic total energy: -119.0 eV/f.u.

---

A plane-wave DFT calculation with PBE was carried out for a relaxed structure of NdSmPa2P4.

Cell lengths 4.0405, 7.0173, 6.9982 Å; angles 70.58, 90.00, 90.00 degrees
Last column: nearest neighbours and their distance in Å.
Sites, in units of the cell vectors:
Nd  0.5000  0.5000  0.0000  6 P 2.92
Sm  0.0000  0.5000  0.5000  6 P 2.91
Pa  0.0000  0.0000  0.0000  6 P 2.81
Pa  0.5000  0.0000  0.5000  6 P 2.80
P  0.0000  0.7654  0.7432  3 Pa 2.80-2.81, 1 Sm 2.91, 2 Nd 2.92
P  0.0000  0.2346  0.2568  3 Pa 2.80-2.81, 1 Sm 2.91, 2 Nd 2.92
P  0.5000  0.7641  0.2468  3 Pa 2.80-2.81, 2 Sm 2.91, 1 Nd 2.92
P  0.5000  0.2359  0.7532  3 Pa 2.80-2.81, 2 Sm 2.91, 1 Nd 2.92

Calculated values
* energy of formation: -11.49 eV per formula unit
* electronic total energy: -61.6 eV/f.u.

---

A plane-wave DFT calculation with PBE was carried out for a relaxed structure of Sr3NdPa2P6.

Cell lengths 7.2283, 7.2283, 7.3517 Å; angles 99.45, 99.45, 119.99 degrees
Last column: nearest neighbours and their distance in Å.
Sites, in units of the cell vectors:
Sr  0.1637  0.8363  0.5000  6 P 3.05-3.16
Sr  0.8363  0.1637  0.5000  6 P 3.05-3.16
Sr  0.5000  0.5000  0.5000  6 P 3.02-3.15
Nd  0.0000  0.0000  0.0000  6 P 2.94
Pa  0.3329  0.6671  0.0000  6 P 2.79-2.80
Pa  0.6671  0.3329  0.0000  6 P 2.79-2.80
P  0.9273  0.5787  0.7827  2 Pa 2.79-2.80, 1 Nd 2.94, 1 Sr 3.05
P  0.7238  0.7238  0.2173  2 Pa 2.80, 1 Nd 2.94, 3 Sr 3.02-3.13
P  0.0727  0.4213  0.2173  2 Pa 2.79-2.80, 1 Nd 2.94, 1 Sr 3.05
P  0.5787  0.9273  0.7827  2 Pa 2.79-2.80, 1 Nd 2.94, 1 Sr 3.05
P  0.2762  0.2762  0.7827  2 Pa 2.80, 1 Nd 2.94, 3 Sr 3.02-3.13
P  0.4213  0.0727  0.2173  2 Pa 2.79-2.80, 1 Nd 2.94, 1 Sr 3.05

Calculated values
* energy of formation: -15.44 eV per formula unit
* electronic total energy: -76.7 eV/f.u.

---

Please write out number 1 again, unchanged.
A plane-wave DFT calculation with PBE was carried out for a relaxed structure of Nd4SmPa3P8.

Cell lengths 8.1436, 8.1613, 8.1429 Å; angles 119.93, 120.00, 90.00 degrees
Last column: nearest neighbours and their distance in Å.
Sites, in units of the cell vectors:
Nd  0.5000  0.0000  0.0000  6 P 2.90
Nd  0.5000  0.0000  0.5000  6 P 2.95-2.96
Nd  0.0000  0.0000  0.0000  6 P 2.95-2.96
Nd  0.0000  0.0000  0.5000  6 P 2.95-2.96
Sm  0.0000  0.5000  0.0000  6 P 2.87
Pa  0.5000  0.5000  0.0000  6 P 2.81-2.82
Pa  0.5000  0.5000  0.5000  6 P 2.81-2.82
Pa  0.0000  0.5000  0.5000  6 P 2.81-2.82
P  0.2487  0.7354  0.9867  2 Pa 2.81, 1 Sm 2.87, 3 Nd 2.90-2.96
P  0.2487  0.7354  0.4975  2 Pa 2.81, 1 Sm 2.87, 3 Nd 2.90-2.96
P  0.2554  0.2661  0.5108  3 Pa 2.82, 3 Nd 2.95
P  0.7379  0.7354  0.9867  2 Pa 2.81, 1 Sm 2.87, 3 Nd 2.90-2.96
P  0.2621  0.2646  0.0133  2 Pa 2.81, 1 Sm 2.87, 3 Nd 2.90-2.96
P  0.7446  0.7339  0.4892  3 Pa 2.82, 3 Nd 2.95
P  0.7513  0.2646  0.5025  2 Pa 2.81, 1 Sm 2.87, 3 Nd 2.90-2.96
P  0.7513  0.2646  0.0133  2 Pa 2.81, 1 Sm 2.87, 3 Nd 2.90-2.96

Calculated values
* energy of formation: -23.47 eV per formula unit
* electronic total energy: -119.0 eV/f.u.

---

Q: The lowest energy of formation belongs to which entry?
A: Nd4SmPa3P8

---

Q: Which of these has the lowest energy of formation?
A: Nd4SmPa3P8

---

Q: Which of these has the lowest energy of formation?
A: Nd4SmPa3P8